*w*
Material: HoVCo2
Method: DFT, PBE
State: optimized geometry

POSCAR file:
```
HoVCo2
1.0
3.970 0.000 0.000
1.985 3.438 0.000
1.985 1.146 4.836
Co Ho V
2 1 1
Cartesian
1.985 1.146 0.519
5.955 3.438 4.317
3.970 2.292 2.418
0.000 0.000 0.000
```

## Properties
V = 66.00 Å³ per cell
Space-group type = R-3m, No. 166
Crystal system = trigonal

---

*x*
Material: HoVCo2
Method: DFT, PBE
State: optimized geometry

POSCAR file:
```
HoVCo2
1.0
-0.444 0.770 2.818
1.429 -2.429 0.889
5.849 3.434 -0.016
Co Ho V
2 1 1
Cartesian
4.730 2.777 -0.013
1.120 0.657 -0.003
3.417 0.888 1.846
0.492 -0.829 1.854
```

## Properties
V = 59.23 Å³ per cell
Space-group type = P4/mmm, No. 123
Crystal system = tetragonal

---

Going by the energies, *w* is most stable and the next is 2.2 kJ/mol of atoms up.